25
Lattice="-5.106 -1.523 -1.637 -3.483 -2.414 3.621 -6.876 8.946 3.639" Properties=species:S:1:pos:R:3 comment="meta-GGA SCAN Sr5ZrTi4O15, single point on PBEsol structure" e_form_raw_mev_per_atom=-3484.8 e_above_lowest_polymorph_mev_per_atom=0 dft_energy_ev_per_atom=-15.47 crystal_system=trigonal dos_ef_per_ev_atom=0.000 pbc="T T T"
O -8.209 5.072 1.910
O -5.506 1.149 1.895
O -7.544 -2.169 1.961
O -5.852 -0.997 0.203
O -7.922 7.179 3.662
O -9.959 3.860 3.728
O -9.613 6.007 5.420
O -8.071 0.384 1.073
O -10.401 6.439 2.867
O -7.394 4.625 4.550
O -5.064 -1.430 2.756
O -7.256 -0.063 3.713
O -3.438 4.473 1.819
O -5.180 3.266 3.630
O -5.991 3.712 1.001
Ti -6.550 -0.517 1.934
Ti -8.915 5.527 3.689
Ti -10.991 2.203 3.766
Ti -4.474 2.806 1.857
Sr -3.297 -0.203 0.983
Sr -7.733 2.505 2.812
Sr -9.817 -0.798 2.895
Sr -5.648 5.807 2.728
Sr -12.169 5.213 4.640
Zr 0.000 0.000 0.000